# 1
# PBE Ce2DyHoSe4, relaxed
# Calculated volume in Å³/atom: 25.00
# Magnetization in μB per formula unit: 2.07
# ΔE_f (raw) in eV/atom: -1.7917
data_Ce2DyHoSe4
_cell_length_a 7.110
_cell_length_b 4.092
_cell_length_c 7.266
_cell_angle_alpha 90.00
_cell_angle_beta 108.93
_cell_angle_gamma 90.00
_space_group_name_H-M_alt 'P 1 2/m 1'
_space_group_IT_number 10
_space_group_name_Hall '-P 2y'
loop_
_atom_site_label
_atom_site_type_symbol
_atom_site_fract_x
_atom_site_fract_y
_atom_site_fract_z
Ce1 Ce 0.000 0.000 0.000
Ce2 Ce 0.500 0.500 0.000
Dy1 Dy 0.000 0.500 0.500
Ho1 Ho 0.500 0.000 0.500
Se1 Se 0.247 0.000 0.737
Se2 Se 0.255 0.500 0.263

# 2
# PBE LaPdAu2, relaxed
# Energy relative to the lowest polymorph listed for this composition in meV per atom: 98
# E_form in kJ per mole of atoms: -63
# Calculated volume in Å³/atom: 22.69
# Magnetization in μB per formula unit: 0.00
data_LaPdAu2
_cell_length_a 4.6852
_cell_length_b 4.6852
_cell_length_c 14.3206
_cell_angle_alpha 90.00
_cell_angle_beta 90.00
_cell_angle_gamma 120.00
_space_group_name_H-M_alt 'R -3 m'
_space_group_IT_number 166
_space_group_name_Hall '-R 3 2"'
loop_
_atom_site_label
_atom_site_type_symbol
_atom_site_fract_x
_atom_site_fract_y
_atom_site_fract_z
La1 La 0.0000 0.0000 0.0000
Pd1 Pd 0.0000 0.0000 0.5000
Au1 Au 0.0000 0.0000 0.2194

# 3
# PBE Tl3Hg2, relaxed
# Energy relative to the lowest polymorph listed for this composition in meV per atom: 0
# E_form in kJ per mole of atoms: 0
# Calculated volume in Å³/atom: 29.67
# Magnetization in μB per formula unit: 0.00
data_Tl3Hg2
_cell_length_a 3.6558
_cell_length_b 3.6558
_cell_length_c 12.8188
_cell_angle_alpha 90.00
_cell_angle_beta 90.00
_cell_angle_gamma 120.00
_space_group_name_H-M_alt 'P -3 m 1'
_space_group_IT_number 164
_space_group_name_Hall '-P 3 2"'
loop_
_atom_site_label
_atom_site_type_symbol
_atom_site_fract_x
_atom_site_fract_y
_atom_site_fract_z
Tl1 Tl 0.0000 0.0000 0.0000
Tl2 Tl 0.3333 0.6667 0.3921
Hg1 Hg 0.3333 0.6667 0.8038

# 4
# PBE TlRuW2, relaxed
# Energy relative to the lowest polymorph listed for this composition in meV per atom: 216
# E_form in kJ per mole of atoms: 68
# Calculated volume in Å³/atom: 16.94
# Magnetization in μB per formula unit: 0.00
data_TlRuW2
_cell_length_a 6.472
_cell_length_b 6.472
_cell_length_c 6.472
_cell_angle_alpha 90.00
_cell_angle_beta 90.00
_cell_angle_gamma 90.00
_space_group_name_H-M_alt 'F -4 3 m'
_space_group_IT_number 216
_space_group_name_Hall 'F -4 2 3'
loop_
_atom_site_label
_atom_site_type_symbol
_atom_site_fract_x
_atom_site_fract_y
_atom_site_fract_z
Tl1 Tl 0.000 0.000 0.000
Ru1 Ru 0.250 0.250 0.250
W1 W 0.000 0.000 0.500
W2 W 0.250 0.250 0.750

# 5
# PBE Sr4U3ZnP8, relaxed
# E_form in kJ per mole of atoms: -81
# Calculated volume in Å³/atom: 24.92
# Magnetization in μB per formula unit: 4.00
data_Sr4U3ZnP8
_cell_length_a 8.1727
_cell_length_b 8.1727
_cell_length_c 20.6769
_cell_angle_alpha 90.00
_cell_angle_beta 90.00
_cell_angle_gamma 120.00
_space_group_name_H-M_alt 'R -3 m'
_space_group_IT_number 166
_space_group_name_Hall '-R 3 2"'
loop_
_atom_site_label
_atom_site_type_symbol
_atom_site_fract_x
_atom_site_fract_y
_atom_site_fract_z
Sr1 Sr 0.0000 0.0000 0.0000
Sr2 Sr 0.0000 0.5000 0.0000
U1 U 0.0000 0.5000 0.5000
Zn1 Zn 0.0000 0.0000 0.5000
P1 P 0.0000 0.0000 0.2374
P2 P 0.0055 0.5027 0.7637

# 6
# PBE CsLiZn2Au, relaxed
# E_form in kJ per mole of atoms: -9
# Calculated volume in Å³/atom: 27.98
# Magnetization in μB per formula unit: 0.00
data_CsLiZn2Au
_cell_length_a 5.104
_cell_length_b 5.104
_cell_length_c 5.371
_cell_angle_alpha 90.00
_cell_angle_beta 90.00
_cell_angle_gamma 90.00
_space_group_name_H-M_alt 'P 4/m m m'
_space_group_IT_number 123
_space_group_name_Hall '-P 4 2'
loop_
_atom_site_label
_atom_site_type_symbol
_atom_site_fract_x
_atom_site_fract_y
_atom_site_fract_z
Cs1 Cs 0.000 0.000 0.000
Li1 Li 0.500 0.500 0.000
Zn1 Zn 0.000 0.500 0.500
Au1 Au 0.500 0.500 0.500